w) First-principles (PBE) data for a relaxed structure of PrSm5Ho4, as listed in Alexandria via LeMat-Bulk.

Values from the calculation:
Density of states at the Fermi level ... 14.529 states/eV/cell
Space group ... I4 (79)
Total magnetization ... 0.0 μB/f.u.

a b c (Å): 6.335 7.929 7.929
angles (deg): 80.82 66.45 66.45
Fractional coordinates of all 10 atoms:
Pr  0.221  0.000  0.000
Sm  0.802  0.382  0.914
Sm  0.184  0.914  0.618
Sm  0.716  0.086  0.382
Sm  0.098  0.618  0.086
Sm  0.679  0.000  0.000
Ho  0.403  0.398  0.700
Ho  0.802  0.700  0.602
Ho  0.103  0.300  0.398
Ho  0.502  0.602  0.300

=====

x) First-principles (PBE) data for a relaxed structure of PrSm5Ho4, as listed in Alexandria via LeMat-Bulk.

Values from the calculation:
Density of states at the Fermi level ... 12.859 states/eV/cell
Space group ... P-1 (2)
Total magnetization ... 0.0 μB/f.u.

a b c (Å): 3.597 10.162 9.498
angles (deg): 105.79 79.09 90.06
Fractional coordinates of all 10 atoms:
Pr  0.500  0.000  0.000
Sm  0.299  0.600  0.401
Sm  0.898  0.801  0.203
Sm  0.102  0.199  0.797
Sm  0.500  0.500  0.000
Sm  0.701  0.400  0.599
Ho  0.300  0.100  0.401
Ho  0.899  0.300  0.202
Ho  0.700  0.900  0.599
Ho  0.101  0.700  0.798

=====

Most stable structure among those shown: x).